This record from Alexandria describes crystalline TmRh4Pb at its relaxed geometry. The functional is PBE-GGA. Values from VASP.

```
&SYSTEM
  ibrav = 0, nat = 6, ntyp = 3
/
ATOMIC_SPECIES
Pb 207.20 Pb.upf
Tm 168.93 Tm.upf
Rh 102.91 Rh.upf
CELL_PARAMETERS angstrom
5.3103 0.0000 0.0000
2.6552 4.5989 0.0000
2.6552 1.5330 4.3359
ATOMIC_POSITIONS crystal
Pb 0.0000 0.0000 0.0000
Tm 0.2500 0.2500 0.2500
Rh 0.6254 0.6254 0.1237
Rh 0.6254 0.1237 0.6254
Rh 0.6254 0.6254 0.6254
Rh 0.1237 0.6254 0.6254
```

Values from the calculation:
uncorrected energy: -0.48937 Ry/atom
space group: No. 216
calculated density: 12.35 g/cm3
formation enthalpy at 0 K: -0.394 eV/atom